[1]
A plane-wave DFT calculation with PBE was carried out for crystalline CrPd3Au at its relaxed geometry.

Unit cell a=4.840 b=4.836 c=7.465 alpha=95.76 beta=108.90 gamma=72.07
Last column: magnetic moment on the atom in μB.
Atoms (fractional coordinates):
Cr: 0.866 0.845 0.014  3.25
Cr: 0.160 0.344 0.601  3.25
Pd: 0.564 0.344 0.410  0.06
Pd: 0.763 0.345 0.807  0.01
Pd: 0.064 0.844 0.409  -0.02
Pd: 0.962 0.344 0.206  -0.02
Pd: 0.462 0.844 0.205  0.06
Pd: 0.263 0.844 0.808  0.01
Au: 0.362 0.344 0.006  0.05
Au: 0.664 0.844 0.609  0.05

Values from the calculation:
* total magnetic moment: 3.65 μB/f.u.
* E_form: -54 meV/atom
* energy: -57.50 eV per cell

=====

[2]
A plane-wave DFT calculation with PBE was carried out for crystalline CrPd3Au at its relaxed geometry.

Unit cell a=4.587 b=5.565 c=6.747 alpha=90.00 beta=70.12 gamma=90.00
Last column: magnetic moment on the atom in μB.
Atoms (fractional coordinates):
Cr: 0.619 0.750 0.261  3.34
Cr: 0.381 0.250 0.739  3.34
Pd: 0.189 0.001 0.122  0.00
Pd: 0.811 0.999 0.878  0.00
Pd: 0.189 0.499 0.122  0.00
Pd: 0.811 0.501 0.878  0.00
Pd: 0.003 0.750 0.493  -0.04
Pd: 0.997 0.250 0.507  -0.04
Au: 0.387 0.750 0.726  0.05
Au: 0.613 0.250 0.274  0.05

Values from the calculation:
* total magnetic moment: 3.68 μB/f.u.
* E_form: 37 meV/atom
* energy: -56.59 eV per cell

=====

[3]
A plane-wave DFT calculation with PBE was carried out for crystalline CrPdAu3 at its relaxed geometry.

Unit cell a=3.061 b=7.325 c=8.048 alpha=90.00 beta=90.00 gamma=90.00
Last column: magnetic moment on the atom in μB.
Atoms (fractional coordinates):
Cr: 0.000 0.567 0.250  3.52
Cr: 0.000 0.433 0.750  3.52
Pd: 0.000 0.000 0.000  0.03
Pd: 0.000 0.000 0.500  0.03
Au: 0.500 0.318 0.431  0.04
Au: 0.500 0.682 0.569  0.04
Au: 0.500 0.682 0.931  0.04
Au: 0.500 0.318 0.069  0.04
Au: 0.500 0.871 0.250  0.05
Au: 0.500 0.129 0.750  0.05

Values from the calculation:
* total magnetic moment: 4.02 μB/f.u.
* E_form: 126 meV/atom
* energy: -48.03 eV per cell